Here is a geometry-optimized Ho2TmZn3CuIr2 structure from OQMD via LeMat-Bulk. Energies are from PBE.

Cell: 3.7797 7.1536 7.1536 Å, 119.84 90.00 90.00°
Last column: nearest neighbours and their distance in Å.
Atoms (fractional coordinates):
Cu 0.0000 0.0011 0.0011  6 Zn 2.59-2.60
Ho 0.0000 0.5887 0.0000  4 Ir 2.88, 1 Cu 2.95, 6 Zn 3.09-3.20
Ho 0.0000 0.0000 0.5887  4 Ir 2.88, 1 Cu 2.95, 6 Zn 3.09-3.20
Ir 0.5000 0.6646 0.3340  3 Zn 2.73-2.76, 2 Tm 2.86, 4 Ho 2.88
Ir 0.5000 0.3340 0.6646  3 Zn 2.73-2.76, 2 Tm 2.86, 4 Ho 2.88
Tm 0.0000 0.4110 0.4110  4 Ir 2.86, 1 Cu 2.94, 6 Zn 3.09-3.18
Zn 0.5000 0.2479 0.0010  2 Cu 2.59, 2 Ir 2.74-2.76
Zn 0.5000 0.0010 0.2479  2 Cu 2.59, 2 Ir 2.74-2.76
Zn 0.5000 0.7517 0.7517  2 Cu 2.60, 2 Ir 2.73

Output
The total energy is -4.929 eV per atom. The formation enthalpy at 0 K is -0.6124 eV/atom. As for the space group: Amm2 (38).

***

Here is a geometry-optimized GdYHg2 structure from OQMD via LeMat-Bulk. Energies are from PBE.

Cell: 5.5065 6.8634 6.8634 Å, 124.78 90.00 90.00°
Last column: nearest neighbours and their distance in Å.
Atoms (fractional coordinates):
Gd 0.2500 0.6170 0.3057  7 Hg 3.12-3.42, 1 Y 3.39
Gd 0.7500 0.3057 0.6170  7 Hg 3.12-3.42, 1 Y 3.39
Hg 0.7500 0.7927 0.1493  4 Gd 3.13-3.42, 1 Hg 3.17, 3 Y 3.21-3.34
Hg 0.7500 0.3580 0.1943  2 Y 3.08-3.28, 3 Gd 3.12-3.13, 3 Hg 3.17-3.40
Hg 0.2500 0.1943 0.3580  2 Y 3.08-3.28, 3 Gd 3.12-3.13, 3 Hg 3.17-3.40
Hg 0.2500 0.1493 0.7927  4 Gd 3.13-3.42, 1 Hg 3.17, 3 Y 3.21-3.34
Y 0.7500 0.8716 0.7114  5 Hg 3.08-3.34, 2 Y 3.37, 1 Gd 3.39
Y 0.2500 0.7114 0.8716  5 Hg 3.08-3.34, 2 Y 3.37, 1 Gd 3.39

Output
The total energy is -3.234 eV per atom. As for the energy above the most stable polymorph in this dataset: 0.190 eV per atom. The formation enthalpy at 0 K is -0.3052 eV/atom. As for the space group: Ama2 (40).

***

Here is a geometry-optimized SmTeAuO structure from OQMD via LeMat-Bulk. Energies are from PBE.

Cell: 7.7480 6.4391 6.4140 Å, 90.00 89.61 90.00°
Last column: nearest neighbours and their distance in Å.
Atoms (fractional coordinates):
Au 0.9374 0.2974 0.0104  4 Te 2.70-2.94, 1 Au 2.79
Au 0.0626 0.7974 0.4896  4 Te 2.70-2.94, 1 Au 2.79
Au 0.9374 0.2026 0.5104  4 Te 2.70-2.94, 1 Au 2.79
Au 0.0626 0.7026 0.9896  4 Te 2.70-2.94, 1 Au 2.79
O 0.5027 0.7413 0.0058  3 Sm 2.30-2.42
O 0.4973 0.2413 0.4942  3 Sm 2.30-2.42
O 0.5027 0.7587 0.5058  3 Sm 2.30-2.42
O 0.4973 0.2587 0.9942  3 Sm 2.30-2.42
Sm 0.6066 0.4786 0.2431  3 O 2.30-2.42
Sm 0.3934 0.9786 0.2569  3 O 2.30-2.42
Sm 0.6066 0.0214 0.7431  3 O 2.30-2.42
Sm 0.3934 0.5214 0.7569  3 O 2.30-2.42
Te 0.8043 0.9610 0.2037  4 Au 2.70-2.94, 1 O 3.02
Te 0.1957 0.4610 0.2963  4 Au 2.70-2.94, 1 O 3.02
Te 0.8043 0.5390 0.7037  4 Au 2.70-2.94, 1 O 3.02
Te 0.1957 0.0390 0.7963  4 Au 2.70-2.94, 1 O 3.02

Output
The total energy is -5.600 eV per atom. As for the energy above the most stable polymorph in this dataset: 0.199 eV per atom. As for the space group: P2_1/c (14).

***

Here is a geometry-optimized LuCdFeSi structure from OQMD via LeMat-Bulk. Energies are from PBE.

Cell: 4.6015 4.6015 4.6015 Å, 60.00 60.00 60.00°
Last column: nearest neighbours and their distance in Å.
Atoms (fractional coordinates):
Cd 0.2500 0.2500 0.2500  4 Si 2.82, 4 Lu 2.82
Fe 0.7500 0.7500 0.7500  4 Lu 2.82, 4 Si 2.82
Lu 0.5000 0.5000 0.5000  4 Fe 2.82, 4 Cd 2.82
Si 0.0000 0.0000 0.0000  4 Cd 2.82, 4 Fe 2.82

Output
The total energy is -4.626 eV per atom. As for the energy above the most stable polymorph in this dataset: 0.124 eV per atom. As for the space group: F-43m (216).

***

Here is a geometry-optimized SrReO4 structure from OQMD via LeMat-Bulk. Energies are from PBE.

Cell: 7.0643 7.0643 7.0643 Å, 134.42 134.42 66.43°
Last column: nearest neighbours and their distance in Å.
Atoms (fractional coordinates):
O 0.5735 0.1834 0.1078  1 Re 1.81
O 0.9334 0.3256 0.1100  1 Re 1.81
O 0.8166 0.9244 0.3900  1 Re 1.81
O 0.1765 0.0666 0.3922  1 Re 1.81
O 0.6744 0.7843 0.6078  1 Re 1.81
O 0.5343 0.4265 0.6100  1 Re 1.81
O 0.2157 0.8235 0.8900  1 Re 1.81
O 0.0756 0.4657 0.8922  1 Re 1.81
Re 0.0000 0.0000 0.0000  4 O 1.81
Re 0.7500 0.2500 0.5000  4 O 1.81
Sr 0.5000 0.5000 0.0000  8 O 2.55-2.60
Sr 0.2500 0.7500 0.5000  8 O 2.55-2.60

Output
The total energy is -7.763 eV per atom. As for the space group: I4_1/a (88).

***

Here is a geometry-optimized SrSmAgSe2S structure from OQMD via LeMat-Bulk. Energies are from PBE.

Cell: 7.2142 7.2142 10.5579 Å, 90.00 90.00 146.16°
Last column: nearest neighbours and their distance in Å.
Atoms (fractional coordinates):
Ag 0.9758 0.0242 0.2500  2 S 2.58, 2 Se 2.63
Ag 0.0242 0.9758 0.7500  2 S 2.58, 2 Se 2.63
S 0.5845 0.4155 0.2500  2 Ag 2.58, 2 Sm 2.89
S 0.4155 0.5845 0.7500  2 Ag 2.58, 2 Sm 2.89
Se 0.8545 0.1455 0.0577  1 Ag 2.63
Se 0.8545 0.1455 0.4423  1 Ag 2.63
Se 0.1455 0.8545 0.5577  1 Ag 2.63
Se 0.1455 0.8545 0.9423  1 Ag 2.63
Sm 0.5000 0.5000 0.0000  2 S 2.89, 4 Se 2.97
Sm 0.5000 0.5000 0.5000  2 S 2.89, 4 Se 2.97
Sr 0.2419 0.7581 0.2500  2 S 3.02, 4 Se 3.31
Sr 0.7581 0.2419 0.7500  2 S 3.02, 4 Se 3.31

Output
The total energy is -4.937 eV per atom. As for the space group: Cmcm (63).